1.
4
Lattice="3.6618 0.0096 0.0000 -0.0100 3.6618 0.0000 0.0000 0.0000 7.0023" Properties=species:S:1:pos:R:3 comment="SrMnAg2 PBE-GGA relaxed" spacegroup="No. 99" e_form_mev_per_atom=199 n_ef_per_ev_atom=0.436 total_magnetization_mub_per_cell=4.3 mass_density_g_cm3=6.34 pbc="T T T"
Ag 0.0000 0.0000 0.3193
Ag 1.8259 1.8357 1.8711
Sr 1.8259 1.8357 5.3212
Mn 0.0000 0.0000 2.9917

=====

2.
5
Lattice="4.9106 0.0000 0.0000 0.0000 4.9106 0.0000 0.0000 0.0000 5.0234" Properties=species:S:1:pos:R:3 comment="KZnGa2Pt PBE-GGA relaxed" spacegroup="No. 123" e_form_mev_per_atom=-276 n_ef_per_ev_atom=0.515 total_magnetization_mub_per_cell=0.0 mass_density_g_cm3=6.02 pbc="T T T"
Ga 2.4553 0.0000 0.0000
Ga 0.0000 2.4553 0.0000
Pt 0.0000 0.0000 0.0000
Zn 0.0000 0.0000 2.5117
K 2.4553 2.4553 2.5117

=====

3.
5
Lattice="5.1885 0.0000 0.0000 0.0000 4.2592 0.0000 0.0000 0.0000 5.1885" Properties=species:S:1:pos:R:3 comment="HfTl2FeSi PBE-GGA relaxed" spacegroup="No. 123" n_ef_per_ev_atom=0.736 dft_energy_ev_per_atom=-4.820 total_magnetization_mub_per_cell=1.2 mass_density_g_cm3=9.72 pbc="T T T"
Si 0.0000 0.0000 0.0000
Fe 0.0000 2.1296 0.0000
Tl 2.5943 0.0000 0.0000
Tl 0.0000 0.0000 2.5943
Hf 2.5943 2.1296 2.5943

=====

4.
29
Lattice="13.9282 -0.0019 -0.0011 12.7961 5.5002 -0.0011 12.7961 2.6327 4.8292" Properties=species:S:1:pos:R:3 comment="Ba2La4Ti5O18 PBE-GGA relaxed" spacegroup="No. 160" n_ef_per_ev_atom=0.000 dft_energy_ev_per_atom=-8.441 total_magnetization_mub_per_cell=0.0 mass_density_g_cm3=6.09 pbc="T T T"
Ti 21.6296 4.4501 2.6418
Ti 28.6112 5.8865 3.4945
Ti 17.7826 3.6586 2.1719
Ti 0.0075 0.0016 0.0009
Ti 10.8637 2.2351 1.3269
O 20.9843 4.3173 0.9258
O 16.1780 4.7953 2.8467
O 22.9280 4.7172 4.4109
O 27.6904 5.6971 1.7463
O 18.3992 3.7855 3.9510
O 23.4861 3.4182 2.0292
O 22.9280 6.1312 2.0292
O 16.7571 1.9809 2.8467
O 11.9216 3.8928 0.6707
O 20.4169 5.6379 3.3469
O 20.9843 2.8800 3.3469
O 18.3992 5.2812 1.4314
O 12.4901 1.1298 0.6707
O 16.7571 3.4476 0.3759
O 27.6904 4.2610 4.1653
O 11.9216 2.4528 3.0963
O 27.1235 7.0165 4.1653
O 18.9896 2.4112 1.4314
La 3.4960 0.7193 0.4270
La 32.0665 6.5974 3.9165
La 25.0691 5.1578 3.0619
La 7.2763 1.4970 0.8887
Ba 36.0768 7.4225 4.4063
Ba 14.3254 2.9473 1.7497

=====

5.
4
Lattice="5.4532 0.0000 0.0000 0.0000 5.4532 0.0000 -2.7266 -2.7266 3.8587" Properties=species:S:1:pos:R:3 comment="LaTbPmAl PBE-GGA relaxed" spacegroup="No. 216" e_form_mev_per_atom=-4 n_ef_per_ev_atom=1.830 total_magnetization_mub_per_cell=0.0 polymorph_energy_mev_per_atom=56.1 mass_density_g_cm3=6.80 pbc="T T T"
Al 2.7266 0.0000 1.9294
Pm 2.7266 2.7266 0.0000
La 0.0000 2.7266 1.9294
Tb 0.0000 0.0000 0.0000

=====

6.
7
Lattice="-5.4136 -0.6907 -3.7852 -3.5438 -1.6501 5.3694 -1.5111 6.4488 0.9845" Properties=species:S:1:pos:R:3 comment="CaAg2I4 PBE-GGA relaxed" spacegroup="No. 111" n_ef_per_ev_atom=0.000 total_magnetization_mub_per_cell=0.0 polymorph_energy_mev_per_atom=38.3 mass_density_g_cm3=4.29 pbc="T T T"
I -5.1697 3.4200 3.6678
I -2.7671 1.0111 0.6711
I -6.9561 -0.0837 1.4120
I -6.0441 3.8687 -0.6135
Ag -3.4624 2.8791 -1.4004
Ag -2.5275 2.3994 3.1769
Ca 0.0000 0.0000 0.0000

=====

7.
4
Lattice="4.6616 -0.0005 -0.0001 -2.3302 4.0381 -0.0002 -2.3300 -1.3461 8.5860" Properties=species:S:1:pos:R:3 comment="CsTePbCl PBE-GGA relaxed" spacegroup="No. 160" n_ef_per_ev_atom=0.000 dft_energy_ev_per_atom=-3.464 total_magnetization_mub_per_cell=0.0 mass_density_g_cm3=5.17 pbc="T T T"
Cs 2.7706 1.0515 3.3546
Te -1.8895 3.7424 0.5550
Cl 0.4400 -0.2948 5.4724
Pb -1.8884 1.0492 7.5288

=====

8.
10
Lattice="-2.3029 4.2761 -0.3921 -5.8582 -0.4735 -1.0323 -2.0954 2.1216 5.1688" Properties=species:S:1:pos:R:3 comment="Ho4ErN5 PBE-GGA relaxed" spacegroup="No. 87" n_ef_per_ev_atom=0.035 dft_energy_ev_per_atom=-8.204 total_magnetization_mub_per_cell=0.0 mass_density_g_cm3=10.30 pbc="T T T"
Ho -4.9429 3.2235 3.5660
Ho -2.4720 1.6145 1.7815
Ho -7.7898 4.3193 1.9620
Ho -5.3189 2.7103 0.1776
N -3.6208 3.7523 1.5809
N -4.1710 0.5689 0.3715
N -6.6400 2.1796 2.1628
N -1.1539 2.1425 -0.1965
N -6.0898 5.3630 3.3722
Er -0.0025 0.0046 -0.0004